No. 1
HgBiBrCl2 after structural relaxation. Source: the Alexandria database, functional GGA-PBE.

```
data_HgBiBrCl2
_chemical_formula_sum 'Hg1 Bi1 Br1 Cl2'
_symmetry_space_group_name_H-M 'P 4/m m m'
_symmetry_Int_Tables_number 123
_symmetry_space_group_name_Hall '-P 4 2'
_cell_length_a 5.468
_cell_length_b 5.468
_cell_length_c 5.750
_cell_angle_alpha 90.00
_cell_angle_beta 90.00
_cell_angle_gamma 90.00
loop_
_atom_site_label
_atom_site_type_symbol
_atom_site_fract_x
_atom_site_fract_y
_atom_site_fract_z
_atom_site_occupancy
Hg1 Hg 0.000 0.000 0.000 1
Bi1 Bi 0.500 0.500 0.500 1
Br1 Br 0.500 0.500 0.000 1
Cl1 Cl 0.000 0.500 0.500 1
```

Calculated values
formation energy (no corrections): -2.96 eV/f.u.
raw total energy: -2.502 eV/atom



No. 2
MgZnSe2 after structural relaxation. Source: the Alexandria database, functional GGA-PBE.

```
data_MgZnSe2
_chemical_formula_sum 'Mg2 Zn2 Se4'
_symmetry_space_group_name_H-M 'I m m 2'
_symmetry_Int_Tables_number 44
_symmetry_space_group_name_Hall 'I 2 -2'
_cell_length_a 3.637
_cell_length_b 3.644
_cell_length_c 17.378
_cell_angle_alpha 90.00
_cell_angle_beta 90.00
_cell_angle_gamma 90.00
loop_
_atom_site_label
_atom_site_type_symbol
_atom_site_fract_x
_atom_site_fract_y
_atom_site_fract_z
_atom_site_occupancy
Mg1 Mg 0.000 0.000 0.000 1
Zn1 Zn 0.000 0.500 0.242 1
Se1 Se 0.000 0.000 0.496 1
Se2 Se 0.000 0.500 0.741 1
```

Calculated values
formation energy (no corrections): -2.11 eV/f.u.
raw total energy: -2.987 eV/atom



No. 3
DyPd4Pt after structural relaxation. Source: the Alexandria database, functional GGA-PBE.

```
data_DyPd4Pt
_chemical_formula_sum 'Dy2 Pd8 Pt2'
_symmetry_space_group_name_H-M 'C 1 2/m 1'
_symmetry_Int_Tables_number 12
_symmetry_space_group_name_Hall '-C 2y'
_cell_length_a 4.963
_cell_length_b 8.743
_cell_length_c 4.915
_cell_angle_alpha 90.00
_cell_angle_beta 108.31
_cell_angle_gamma 90.00
loop_
_atom_site_label
_atom_site_type_symbol
_atom_site_fract_x
_atom_site_fract_y
_atom_site_fract_z
_atom_site_occupancy
Dy1 Dy 0.000 0.000 0.000 1
Pd1 Pd 0.000 0.175 0.500 1
Pd2 Pd 0.000 0.336 0.000 1
Pt1 Pt 0.000 0.500 0.500 1
```

Calculated values
formation energy: -0.6004 eV per atom
raw total energy: -5.836 eV/atom